PaCu2NiO6 | PBE with a Hubbard U | optimized geometry

Summary:
volume	114.9	Å³/f.u.
M_tot	0.13	μB per atom
theoretical density	7.41	g/cm³
total energy	-0.243	Ha/atom

a = 6.6658 Å, b = 6.6658 Å, c = 5.2852 Å
α = 92.81°, β = 92.81°, γ = 78.66°
Last column: nearest neighbours and their distance in Å.
Element x y z (fractional)
Pa 0.1586 0.8414 0.7500  8 O 2.17-2.42
Pa 0.8414 0.1586 0.2500  8 O 2.17-2.42
Cu 0.1050 0.3936 0.7775  4 O 1.87-1.93
Cu 0.3936 0.1050 0.2775  4 O 1.87-1.93
Cu 0.6064 0.8950 0.7225  4 O 1.87-1.93
Cu 0.8950 0.6064 0.2225  4 O 1.87-1.93
Ni 0.4231 0.5769 0.2500  6 O 2.06-2.14
Ni 0.5769 0.4231 0.7500  6 O 2.06-2.14
O 0.0609 0.1728 0.5642  1 Cu 1.87
O 0.1386 0.5990 0.0377  2 Cu 1.93, 1 Ni 2.14
O 0.1728 0.0609 0.0642  1 Cu 1.87
O 0.2880 0.5047 0.5826  1 Cu 1.91, 2 Ni 2.06-2.13
O 0.4010 0.8614 0.4623  2 Cu 1.93, 1 Ni 2.14
O 0.4953 0.7120 0.9174  1 Cu 1.91, 2 Ni 2.06-2.13
O 0.5047 0.2880 0.0826  1 Cu 1.91, 2 Ni 2.06-2.13
O 0.5990 0.1386 0.5377  2 Cu 1.93, 1 Ni 2.14
O 0.7120 0.4953 0.4174  1 Cu 1.91, 2 Ni 2.06-2.13
O 0.8272 0.9391 0.9358  1 Cu 1.87
O 0.8614 0.4010 0.9623  2 Cu 1.93, 1 Ni 2.14
O 0.9391 0.8272 0.4358  1 Cu 1.87